! PBE-GGA Ca3PrPd8, relaxed; values from VASP
&SYSTEM
  ibrav = 0, nat = 12, ntyp = 3
/
ATOMIC_SPECIES
Ca 40.08 Ca.upf
Pr 140.91 Pr.upf
Pd 106.42 Pd.upf
CELL_PARAMETERS angstrom
2.752 1.589 8.940
-2.752 1.589 8.940
0.000 -3.178 8.940
ATOMIC_POSITIONS angstrom
Ca 0.000 0.000 0.000
Ca 0.000 0.000 3.302
Ca 0.000 0.000 16.880
Pr 0.000 0.000 13.464
Pd 0.000 -1.583 6.175
Pd -1.371 0.792 6.175
Pd -1.374 -0.793 10.659
Pd 0.000 0.000 8.419
Pd 1.371 0.792 6.175
Pd 1.374 -0.793 10.659
Pd 0.000 1.586 10.659
Pd 0.000 0.000 21.822
! Space-group type: No. 160
! E_form: -0.71 eV/atom
! Crystal system: trigonal

! PBE-GGA Ac4PrAu3, relaxed; values from VASP
&SYSTEM
  ibrav = 0, nat = 8, ntyp = 3
/
ATOMIC_SPECIES
Ac 227.00 Ac.upf
Pr 140.91 Pr.upf
Au 196.97 Au.upf
CELL_PARAMETERS angstrom
4.235 0.000 0.000
0.000 4.961 0.000
0.000 0.000 12.642
ATOMIC_POSITIONS angstrom
Ac 0.000 0.000 0.000
Ac 0.000 2.481 3.273
Ac 2.117 0.000 5.895
Ac 2.117 2.481 10.118
Pr 0.000 0.000 8.786
Au 0.000 2.481 6.810
Au 2.117 0.000 2.691
Au 2.117 2.481 0.745
! Space-group type: No. 25
! E_form: -0.53 eV/atom
! Crystal system: orthorhombic

! PBE-GGA Li2POs, relaxed; values from VASP
&SYSTEM
  ibrav = 0, nat = 8, ntyp = 3
/
ATOMIC_SPECIES
Li 6.94 Li.upf
P 30.97 P.upf
Os 190.23 Os.upf
CELL_PARAMETERS angstrom
-3.597 3.597 2.249
3.597 -3.597 2.249
3.597 3.597 -2.249
ATOMIC_POSITIONS angstrom
Li 5.396 1.573 -0.562
Li 1.573 1.799 0.562
Li -1.799 2.024 1.687
Li 2.024 1.799 2.811
P 0.000 0.000 0.000
P 0.000 3.597 1.125
Os 3.597 0.000 1.125
Os 0.000 0.000 2.249
! Space-group type: No. 122
! E_form: 0.18 eV/atom
! Crystal system: tetragonal

! PBE-GGA Li2SiSb, relaxed; values from VASP
&SYSTEM
  ibrav = 0, nat = 4, ntyp = 3
/
ATOMIC_SPECIES
Li 6.94 Li.upf
Si 28.09 Si.upf
Sb 121.76 Sb.upf
CELL_PARAMETERS angstrom
3.712 0.000 0.000
0.000 3.712 0.000
0.000 0.000 5.442
ATOMIC_POSITIONS angstrom
Li 0.000 0.000 0.000
Li 1.856 1.856 1.370
Si 1.856 1.856 4.042
Sb 0.000 0.000 2.817
! Formation energy from raw total energies: -0.5 eV/f.u.
! Relative energy among the computed polymorphs: 102 meV/atom
! Space-group type: No. 99
! Crystal system: tetragonal

! PBE-GGA Tb7Zn4Cd, relaxed; values from VASP
&SYSTEM
  ibrav = 0, nat = 12, ntyp = 3
/
ATOMIC_SPECIES
Tb 158.93 Tb.upf
Zn 65.41 Zn.upf
Cd 112.41 Cd.upf
CELL_PARAMETERS angstrom
6.997 -2.823 0.000
6.997 2.823 0.000
-4.437 0.000 7.844
ATOMIC_POSITIONS angstrom
Tb 0.000 0.000 0.000
Tb 0.100 0.000 5.355
Tb 3.869 0.000 0.966
Tb 3.300 0.000 4.643
Tb 6.257 0.000 3.201
Tb 5.689 0.000 6.878
Tb 9.458 0.000 2.489
Zn -2.754 0.000 5.289
Zn 1.125 0.000 2.629
Zn 8.432 0.000 5.215
Zn 12.312 0.000 2.555
Cd 6.997 0.000 0.000
! Space-group type: No. 12
! E_form: -0.09 eV/atom
! Crystal system: monoclinic

! PBE-GGA SbP4O12, relaxed; values from VASP
&SYSTEM
  ibrav = 0, nat = 34, ntyp = 3
/
ATOMIC_SPECIES
Sb 121.76 Sb.upf
P 30.97 P.upf
O 16.00 O.upf
CELL_PARAMETERS angstrom
5.486 0.000 0.000
0.000 13.958 0.000
-1.481 0.000 7.320
ATOMIC_POSITIONS angstrom
Sb 0.013 0.000 0.195
Sb 3.992 6.979 7.126
P 1.075 8.193 2.648
P 1.516 13.096 3.135
P 1.276 5.033 6.722
P 1.305 1.944 6.973
P 2.700 8.923 0.347
P 2.729 12.012 0.598
P 2.489 6.117 4.185
P 2.930 1.214 4.673
O 0.319 7.084 1.861
O 0.317 13.540 2.267
O 0.416 9.474 2.900
O -0.163 5.279 7.132
O 1.357 1.730 0.114
O 0.165 8.328 6.736
O 0.213 12.758 7.088
O 1.268 12.338 4.359
O 1.627 7.485 3.973
O 2.393 10.478 0.430
O 1.448 5.319 5.182
O 1.491 1.412 5.499
O 2.514 8.391 1.822
O 2.557 12.298 2.139
O 1.612 3.500 6.890
O 2.379 0.506 3.348
O 2.737 5.359 2.961
O 3.792 5.779 0.233
O 3.841 1.350 0.584
O 2.648 8.709 7.206
O 4.169 12.258 0.189
O 3.589 2.496 4.420
O 3.689 6.561 5.053
O 3.687 0.105 5.459
! Formation energy from raw total energies: -31.8 eV/f.u.
! Relative energy among the computed polymorphs: 15 meV/atom
! Space-group type: No. 4
! Crystal system: monoclinic